The following is a DFT calculation (PBE) of an optimized crystal structure of FeReP2.

Computed properties:
The calculated formation energy comes out at -0.10 eV/atom. As for the energy above the lowest structure with this stoichiometry: 44 kJ/mol of formula units. The value obtained for the volume is 48.1 Å³/cell. The final energy comes out at -32.1 eV per cell. The density comes out at 10.5 Mg/m³.

abc: 2.9146 2.9146 5.6667
angles: 90.00 90.00 90.00
Atoms (fractional coordinates):
Fe  0.0000  0.0000  0.0000
Re  0.0000  0.0000  0.5000
P  0.5000  0.5000  0.2400
P  0.5000  0.5000  0.7600

=====

The following is a DFT calculation (PBE) of an optimized crystal structure of Fe2ReP.

Computed properties:
The calculated formation energy comes out at -0.13 eV/atom. The value obtained for the volume is 48.0 Å³/cell. The final energy comes out at -35.3 eV per cell. The density comes out at 11.4 Mg/m³.

abc: 3.4287 5.3659 5.3659
angles: 29.08 90.00 90.00
Atoms (fractional coordinates):
Fe  0.0000  0.0000  0.0000
Fe  0.5000  0.3506  0.3506
Re  0.0000  0.7313  0.7313
P  0.5000  0.5606  0.5606

=====

The following is a DFT calculation (PBE) of an optimized crystal structure of FeRe2P.

Computed properties:
The calculated formation energy comes out at 0.30 eV/atom. The value obtained for the volume is 54.3 Å³/cell. The final energy comes out at -37.6 eV per cell. The density comes out at 14.1 Mg/m³.

abc: 2.9780 4.1507 4.3893
angles: 90.00 90.00 90.00
Atoms (fractional coordinates):
Fe  0.0000  0.0000  0.0000
Re  0.0000  0.5000  0.5000
Re  0.5000  0.5000  0.0000
P  0.5000  0.0000  0.5000

=====

The following is a DFT calculation (PBE) of an optimized crystal structure of FeRe2P.

Computed properties:
The calculated formation energy comes out at 0.23 eV/atom. The value obtained for the volume is 53.0 Å³/cell. The final energy comes out at -37.9 eV per cell. The density comes out at 14.4 Mg/m³.

abc: 4.7293 4.7293 4.7293
angles: 134.46 134.46 66.36
Atoms (fractional coordinates):
Fe  0.0000  0.0000  0.0000
Re  0.5000  0.5000  0.0000
Re  0.7500  0.2500  0.5000
P  0.2500  0.7500  0.5000

=====

The following is a DFT calculation (PBE) of an optimized crystal structure of Fe2ReP.

Computed properties:
The calculated formation energy comes out at 0.06 eV/atom. The value obtained for the volume is 46.9 Å³/cell. The final energy comes out at -34.5 eV per cell. The density comes out at 11.6 Mg/m³.

abc: 4.4568 4.4568 4.4568
angles: 132.72 132.72 69.10
Atoms (fractional coordinates):
Fe  0.0000  0.0000  0.0000
Fe  0.7500  0.2500  0.5000
Re  0.5000  0.5000  0.0000
P  0.2500  0.7500  0.5000

=====

The following is a DFT calculation (PBE) of an optimized crystal structure of Fe2ReP.

Computed properties:
The calculated formation energy comes out at 0.11 eV/atom. The value obtained for the volume is 49.2 Å³/cell. The final energy comes out at -34.3 eV per cell. The density comes out at 11.1 Mg/m³.

abc: 3.5204 3.5204 3.9675
angles: 90.00 90.00 90.00
Atoms (fractional coordinates):
Fe  0.0000  0.5000  0.0000
Fe  0.5000  0.0000  0.0000
Re  0.0000  0.0000  0.5000
P  0.5000  0.5000  0.5000

=====

The following is a DFT calculation (PBE) of an optimized crystal structure of FeReP2.

Computed properties:
The calculated formation energy comes out at -0.04 eV/atom. As for the energy above the lowest structure with this stoichiometry: 66 kJ/mol of formula units. The value obtained for the volume is 49.7 Å³/cell. The final energy comes out at -31.9 eV per cell. The density comes out at 10.2 Mg/m³.

abc: 3.9185 3.9185 4.8356
angles: 100.99 100.99 43.13
Atoms (fractional coordinates):
Fe  0.0000  0.0000  0.0000
Re  0.5000  0.5000  0.5000
P  0.2512  0.2512  0.7674
P  0.7488  0.7488  0.2326

=====

The following is a DFT calculation (PBE) of an optimized crystal structure of Fe2ReP.

Computed properties:
The calculated formation energy comes out at 0.65 eV/atom. The value obtained for the volume is 132.6 Å³/cell. The final energy comes out at -64.4 eV per cell. The density comes out at 8.2 Mg/m³.

abc: 6.1729 6.1729 6.1729
angles: 130.57 130.57 72.50
Atoms (fractional coordinates):
Fe  0.1014  0.6250  0.9764
Fe  0.3750  0.3514  0.4764
Fe  0.6486  0.1250  0.0236
Fe  0.8750  0.8986  0.5236
Re  0.2500  0.7500  0.5000
Re  0.5000  0.5000  0.0000
P  0.0000  0.0000  0.0000
P  0.7500  0.2500  0.5000

=====

The lowest density belongs to which entry?
number 8